No. 1
## AcSb2 (PBE-GGA)

Data for an optimized crystal structure of AcSb2.

The total moment is 0.0 μB/cell. For the relative energy among the computed polymorphs, the calculation gives 0.000 eV/atom. Its uncorrected formation energy is -2.41 eV per formula unit.

The space group is Cmcm (No. 63) and the conventional cell measures 4.594, 18.010 and 4.766 Å, with angles of 90.00, 90.00 and 90.00 degrees. The distinct sites, in fractional coordinates, are Ac at (0.000, 0.107, 0.250), Sb at (0.000, 0.249, 0.750) and Sb at (0.000, 0.450, 0.250).

=====

No. 2
## TmMgGa (PBE-GGA)

Data for an optimized crystal structure of TmMgGa.

The energy of formation is -7.44 kcal/mol of atoms. The total moment is 0.0 μB/cell. For the relative energy among the computed polymorphs, the calculation gives 0.155 eV/atom.

The space group is F-43m (No. 216) and the conventional cell measures 6.657, 6.657 and 6.657 Å, with angles of 90.00, 90.00 and 90.00 degrees. The distinct sites, in fractional coordinates, are Tm at (0.000, 0.000, 0.000), Mg at (0.000, 0.000, 0.500) and Ga at (0.250, 0.250, 0.250).

=====

No. 3
## Be2InSb (PBE-GGA)

Data for an optimized crystal structure of Be2InSb.

The total moment is 0.0 μB/cell. For the relative energy among the computed polymorphs, the calculation gives 0.629 eV/atom. Its uncorrected formation energy is 3.59 eV per formula unit.

The space group is F-43m (No. 216) and the conventional cell measures 6.797, 6.797 and 6.797 Å, with angles of 90.00, 90.00 and 90.00 degrees. The distinct sites, in fractional coordinates, are Be at (0.000, 0.000, 0.000), Be at (0.250, 0.250, 0.250), In at (0.000, 0.000, 0.500) and Sb at (0.250, 0.250, 0.750).

=====

No. 4
## MgCrNi2 (PBE-GGA)

Data for an optimized crystal structure of MgCrNi2.

The energy of formation is 4.14 kcal/mol of atoms. The total moment is 0.0 μB/cell.

The space group is R-3m (No. 166, hexagonal axes) and the conventional cell measures 2.6341, 2.6341 and 25.1215 Å, with angles of 90.00, 90.00 and 120.00 degrees. The distinct sites, in fractional coordinates, are Mg at (0.0000, 0.0000, 0.0000), Cr at (0.0000, 0.0000, 0.5000) and Ni at (0.0000, 0.0000, 0.2452).

=====

No. 5
## Sc2FeW (PBE-GGA)

Data for an optimized crystal structure of Sc2FeW.

The energy of formation is 8.13 kcal/mol of atoms. The total moment is 0.0 μB/cell. For the relative energy among the computed polymorphs, the calculation gives 0.321 eV/atom.

The space group is Pmmm (No. 47) and the conventional cell measures 3.195, 4.413 and 4.711 Å, with angles of 90.00, 90.00 and 90.00 degrees. The distinct sites, in fractional coordinates, are Sc at (0.000, 0.000, 0.000), Sc at (0.500, 0.000, 0.500), Fe at (0.000, 0.500, 0.500) and W at (0.500, 0.500, 0.000).

=====

No. 6
## MgTc2Ir (PBE-GGA)

Data for an optimized crystal structure of MgTc2Ir.

The energy of formation is 0.12 kcal/mol of atoms. The total moment is 0.0 μB/cell.

The space group is C2/m (No. 12) and the conventional cell measures 9.534, 2.785 and 4.628 Å, with angles of 90.00, 100.77 and 90.00 degrees. The distinct sites, in fractional coordinates, are Mg at (0.000, 0.000, 0.000), Tc at (0.237, 0.000, 0.740) and Ir at (0.000, 0.500, 0.500).

=====

No. 7
## BaLiMg2 (PBE-GGA)

Data for an optimized crystal structure of BaLiMg2.

The energy of formation is 3.56 kcal/mol of atoms. The total moment is 0.0 μB/cell. For the relative energy among the computed polymorphs, the calculation gives 0.199 eV/atom.

The space group is Cmmm (No. 65) and the conventional cell measures 7.347, 9.605 and 3.738 Å, with angles of 90.00, 90.00 and 90.00 degrees. The distinct sites, in fractional coordinates, are Ba at (0.000, 0.000, 0.000), Li at (0.000, 0.500, 0.000) and Mg at (0.250, 0.250, 0.500).

=====

No. 8
## ThSc2Tc9 (PBE-GGA)

Data for an optimized crystal structure of ThSc2Tc9.

The energy of formation is -2.65 kcal/mol of atoms. The total moment is 0.0 μB/cell.

The space group is R-3m (No. 166, hexagonal axes) and the conventional cell measures 5.2710, 5.2710 and 26.2027 Å, with angles of 90.00, 90.00 and 120.00 degrees. The distinct sites, in fractional coordinates, are Th at (0.0000, 0.0000, 0.0000), Sc at (0.0000, 0.0000, 0.1438), Tc at (0.0000, 0.0000, 0.3368), Tc at (0.0000, 0.0000, 0.5000) and Tc at (0.0108, 0.5054, 0.9135).

=====

No. 9
## MgAl4Ni5 (PBE-GGA)

Data for an optimized crystal structure of MgAl4Ni5.

The energy of formation is -13.20 kcal/mol of atoms. The total moment is 0.0 μB/cell.

The space group is P4/mmm (No. 123) and the conventional cell measures 2.903, 2.903 and 14.854 Å, with angles of 90.00, 90.00 and 90.00 degrees. The distinct sites, in fractional coordinates, are Mg at (0.000, 0.000, 0.000), Al at (0.000, 0.000, 0.209), Al at (0.000, 0.000, 0.404), Ni at (0.500, 0.500, 0.118), Ni at (0.500, 0.500, 0.308) and Ni at (0.500, 0.500, 0.500).